Below is a relaxed CaPmMnN4 crystal, with properties calculated at the PBE-GGA level.

a = 5.6216 Å, b = 5.3556 Å, c = 6.9531 Å
α = 90.00°, β = 104.50°, γ = 90.00°
Space group P2_1/m (No. 11)
One atom of each set of equivalent atoms:
Ca1 0.2375 0.2500 0.4478 (multiplicity 2)
Pm1 0.2735 0.2500 0.9587 (multiplicity 2)
Mn1 0.2734 0.7500 0.2076 (multiplicity 2)
N1 0.0653 0.7500 0.3471 (multiplicity 2)
N2 0.1235 0.7500 0.9626 (multiplicity 2)
N3 0.4648 0.0003 0.2523 (multiplicity 4)

Properties
ΔE_f (raw)	-0.724	eV/atom

=====

Below is a relaxed Li2RhN crystal, with properties calculated at the PBE-GGA level.

a = 3.8481 Å, b = 3.8481 Å, c = 3.7549 Å
α = 90.00°, β = 90.00°, γ = 120.00°
Space group P6/mmm (No. 191)
One atom of each set of equivalent atoms:
Li1 0.3333 0.6667 0.0000 (multiplicity 2)
Rh1 0.0000 0.0000 0.5000 (multiplicity 1)
N1 0.0000 0.0000 0.0000 (multiplicity 1)

Properties
ΔE_f (raw)	-0.248	eV/atom

=====

Below is a relaxed NdEr12Al3 crystal, with properties calculated at the PBE-GGA level.

a = 4.7594 Å, b = 4.7594 Å, c = 19.4413 Å
α = 90.00°, β = 90.00°, γ = 90.00°
Space group P4/mmm (No. 123)
One atom of each set of equivalent atoms:
Nd1 0.0000 0.0000 0.0000 (multiplicity 1)
Er1 0.0000 0.5000 0.1365 (multiplicity 4)
Er2 0.0000 0.5000 0.3789 (multiplicity 4)
Er3 0.5000 0.5000 0.0000 (multiplicity 1)
Er4 0.5000 0.5000 0.2589 (multiplicity 2)
Er5 0.5000 0.5000 0.5000 (multiplicity 1)
Al1 0.0000 0.0000 0.2588 (multiplicity 2)
Al2 0.0000 0.0000 0.5000 (multiplicity 1)

Properties
E_form	-0.12	eV per atom

=====

Below is a relaxed KRuPb3 crystal, with properties calculated at the PBE-GGA level.

a = 5.7924 Å, b = 5.7924 Å, c = 5.7924 Å
α = 90.00°, β = 90.00°, γ = 90.00°
Space group Pm-3m (No. 221)
One atom of each set of equivalent atoms:
K1 0.0000 0.0000 0.0000 (multiplicity 1)
Ru1 0.5000 0.5000 0.5000 (multiplicity 1)
Pb1 0.0000 0.0000 0.5000 (multiplicity 3)

Properties
E_form	1.81	eV per atom
polymorph energy (0 for the lowest one)	1586	meV/atom

=====

Below is a relaxed NdSc4Tl5 crystal, with properties calculated at the PBE-GGA level.

a = 3.6382 Å, b = 3.6382 Å, c = 18.5960 Å
α = 90.00°, β = 90.00°, γ = 90.00°
Space group P4/mmm (No. 123)
One atom of each set of equivalent atoms:
Nd1 0.0000 0.0000 0.0000 (multiplicity 1)
Sc1 0.0000 0.0000 0.2128 (multiplicity 2)
Sc2 0.0000 0.0000 0.4044 (multiplicity 2)
Tl1 0.5000 0.5000 0.1168 (multiplicity 2)
Tl2 0.5000 0.5000 0.3088 (multiplicity 2)
Tl3 0.5000 0.5000 0.5000 (multiplicity 1)

Properties
E_form	-0.28	eV per atom

=====

Below is a relaxed ScMn2Ru crystal, with properties calculated at the PBE-GGA level.

a = 7.0846 Å, b = 7.0846 Å, c = 5.3042 Å
α = 90.00°, β = 90.00°, γ = 90.00°
Space group I-42d (No. 122)
One atom of each set of equivalent atoms:
Sc1 0.0000 0.0000 0.0000 (multiplicity 4)
Mn1 0.2102 0.7500 0.6250 (multiplicity 8)
Ru1 0.0000 0.0000 0.5000 (multiplicity 4)

Properties
E_form	0.36	eV per atom
polymorph energy (0 for the lowest one)	423	meV/atom

=====

Below is a relaxed Tl2SnPb2 crystal, with properties calculated at the PBE-GGA level.

a = 4.3847 Å, b = 4.3847 Å, c = 16.9806 Å
α = 90.00°, β = 90.00°, γ = 90.00°
Space group I4/mmm (No. 139)
One atom of each set of equivalent atoms:
Tl1 0.0000 0.5000 0.2500 (multiplicity 4)
Sn1 0.0000 0.0000 0.0000 (multiplicity 2)
Pb1 0.0000 0.0000 0.4073 (multiplicity 4)

Properties
E_form	0.16	eV per atom
polymorph energy (0 for the lowest one)	154	meV/atom

=====

Below is a relaxed KOs2Cl crystal, with properties calculated at the PBE-GGA level.

a = 2.9558 Å, b = 2.9558 Å, c = 28.9027 Å
α = 90.00°, β = 90.00°, γ = 120.00°
Space group R3m (No. 160, hexagonal axes)
One atom of each set of equivalent atoms:
K1 0.0000 0.0000 0.0000 (multiplicity 3)
Os1 0.0000 0.0000 0.2267 (multiplicity 3)
Os2 0.0000 0.0000 0.4938 (multiplicity 3)
Cl1 0.0000 0.0000 0.7478 (multiplicity 3)

Properties
ΔE_f (raw)	0.601	eV/atom
polymorph energy (0 for the lowest one)	345	meV/atom